The following is a PBE+U calculation of a relaxed CoTc2F8 crystal, from Alexandria.

Results
- VASP energy (eV per cell) = -121.81

Lattice parameters (Å, degrees): 9.271 7.031 4.618 90.00 98.44 90.00
Space group C2/m (No. 12)
Asymmetric unit:
Co  0.000  0.000  0.000
Tc  0.118  0.500  0.238
F  0.106  0.500  0.717
F  0.111  0.219  0.235
F  0.168  0.000  0.766